Arrangement a

A relaxed structure of BiH2Pd3, computed with PBE-GGA.

POSCAR file:
```
BiH2Pd3
1.0
6.6807 -1.8251 0.0000
6.6807 1.8251 0.0000
-1.1575 0.0000 6.8443
Bi H Pd
2 4 6
direct
0.1324 0.1324 0.4533
0.8676 0.8676 0.5467
0.2091 0.2091 0.8917
0.4639 0.4639 0.1679
0.5361 0.5361 0.8321
0.7909 0.7909 0.1083
0.0645 0.0645 0.8228
0.2654 0.2654 0.1670
0.4025 0.4025 0.8547
0.5975 0.5975 0.1453
0.7346 0.7346 0.8330
0.9355 0.9355 0.1772
```

total magnetic moment	0.00	μB/f.u.
space group	No. 12
calculated density	10.55	g/cm³

Arrangement b

A relaxed structure of BiH2Pd3, computed with PBE-GGA.

POSCAR file:
```
BiH2Pd3
1.0
4.8911 -3.0012 0.0000
4.8911 3.0012 0.0000
0.0000 0.0000 5.4613
Bi H Pd
2 4 6
direct
0.1725 0.8275 0.5000
0.8275 0.1725 0.0000
0.1687 0.4548 0.0080
0.4548 0.1687 0.5080
0.5452 0.8313 0.0080
0.8313 0.5452 0.5080
0.1415 0.3617 0.6821
0.3440 0.6560 0.0070
0.3617 0.1415 0.1821
0.6383 0.8585 0.6821
0.6560 0.3440 0.5070
0.8585 0.6383 0.1821
```

total magnetic moment	0.00	μB/f.u.
space group	No. 36
calculated density	10.98	g/cm³

Winner for stability: arrangement b

Arrangement a

A relaxed structure of Bi2H2Pd5, computed with PBE-GGA.

POSCAR file:
```
Bi2H2Pd5
1.0
3.4443 0.0000 0.0000
1.6892 4.8460 0.0000
0.0095 0.5388 8.2169
Bi H Pd
2 2 5
direct
0.0701 0.3561 0.2975
0.9299 0.6439 0.7025
0.3218 0.8567 0.0559
0.6782 0.1433 0.9441
0.2085 0.0819 0.8574
0.3528 0.7946 0.4252
0.5000 0.5000 0.0000
0.6472 0.2054 0.5748
0.7915 0.9181 0.1426
```

total magnetic moment	0.00	μB/f.u.
space group	No. 2
calculated density	11.53	g/cm³

Arrangement b

A relaxed structure of Bi2H2Pd5, computed with PBE-GGA.

POSCAR file:
```
Bi2H2Pd5
1.0
5.5053 -2.1028 0.0000
5.5053 2.1028 0.0000
-2.2347 0.0000 6.1580
Bi H Pd
2 2 5
direct
0.1099 0.1099 0.3487
0.8901 0.8901 0.6513
0.3412 0.3412 0.0434
0.6588 0.6588 0.9566
0.1576 0.1576 0.9482
0.3757 0.3757 0.3550
0.5000 0.5000 0.0000
0.6243 0.6243 0.6450
0.8424 0.8424 0.0518
```

total magnetic moment	0.00	μB/f.u.
space group	No. 12
calculated density	11.09	g/cm³

Winner for stability: arrangement a

Arrangement a

A relaxed structure of Bi2HPd2, computed with PBE-GGA.

POSCAR file:
```
Bi2HPd2
1.0
5.6603 0.0000 0.0000
0.0000 5.6603 0.0000
0.0000 0.0000 6.2937
Bi H Pd
4 2 4
direct
0.0000 0.5000 0.2500
0.0000 0.5000 0.7500
0.5000 0.0000 0.2500
0.5000 0.0000 0.7500
0.0000 0.0000 0.0000
0.5000 0.5000 0.5000
0.0000 0.0000 0.2788
0.0000 0.0000 0.7212
0.5000 0.5000 0.2212
0.5000 0.5000 0.7788
```

total magnetic moment	0.00	μB/f.u.
space group	No. 139
calculated density	10.41	g/cm³

Arrangement b

A relaxed structure of Bi2HPd2, computed with PBE-GGA.

POSCAR file:
```
Bi2HPd2
1.0
7.5081 0.0000 0.0000
0.0000 7.5081 0.0000
0.0000 0.0000 3.6807
Bi H Pd
4 2 4
direct
0.1639 0.3361 0.0000
0.3361 0.8361 0.0000
0.6639 0.1639 0.0000
0.8361 0.6639 0.0000
0.0000 0.0000 0.5000
0.5000 0.5000 0.5000
0.1348 0.6348 0.5000
0.3652 0.1348 0.5000
0.6348 0.8652 0.5000
0.8652 0.3652 0.5000
```

total magnetic moment	0.00	μB/f.u.
space group	No. 127
calculated density	10.11	g/cm³

Winner for stability: arrangement a

Arrangement a

A relaxed structure of Bi2H2Pd3, computed with PBE-GGA.

POSCAR file:
```
Bi2H2Pd3
1.0
10.0473 0.0000 0.0000
0.0000 3.4086 0.0000
-3.7618 0.0000 6.4939
Bi H Pd
4 4 6
direct
0.0739 0.0000 0.3507
0.4261 0.5000 0.6493
0.5739 0.5000 0.3507
0.9261 0.0000 0.6493
0.2031 0.5000 0.0691
0.2969 0.0000 0.9309
0.7031 0.0000 0.0691
0.7969 0.5000 0.9309
0.0000 0.5000 0.0000
0.2104 0.5000 0.8127
0.2896 0.0000 0.1873
0.5000 0.0000 0.0000
0.7104 0.0000 0.8127
0.7896 0.5000 0.1873
```

total magnetic moment	0.00	μB/f.u.
space group	No. 12
calculated density	11.04	g/cm³

Arrangement b

A relaxed structure of Bi2H2Pd3, computed with PBE-GGA.

POSCAR file:
```
Bi2H2Pd3
1.0
4.9265 0.0000 0.0000
0.0000 7.1053 0.0000
-2.3027 0.0000 6.8356
Bi H Pd
4 4 6
direct
0.1889 0.1392 0.3946
0.1889 0.3608 0.8946
0.8111 0.6392 0.1054
0.8111 0.8608 0.6054
0.3243 0.6097 0.5097
0.3243 0.8903 0.0097
0.6757 0.1097 0.9903
0.6757 0.3903 0.4903
0.0000 0.0000 0.0000
0.0000 0.5000 0.5000
0.3944 0.5030 0.2862
0.3944 0.9970 0.7862
0.6056 0.0030 0.2138
0.6056 0.4970 0.7138
```

total magnetic moment	0.00	μB/f.u.
space group	No. 14
calculated density	10.26	g/cm³

Winner for stability: arrangement b

Arrangement a

A relaxed structure of Bi2HPd5, computed with PBE-GGA.

POSCAR file:
```
Bi2HPd5
1.0
7.1609 0.0000 0.0000
0.0000 5.8611 0.0000
0.0000 0.0000 12.8098
Bi H Pd
8 4 20
direct
0.0106 0.2500 0.2029
0.1766 0.7500 0.4326
0.3234 0.2500 0.9326
0.4894 0.7500 0.7029
0.5106 0.2500 0.2971
0.6766 0.7500 0.0674
0.8234 0.2500 0.5674
0.9894 0.7500 0.7971
0.1987 0.2500 0.7181
0.3013 0.7500 0.2181
0.6987 0.2500 0.7819
0.8013 0.7500 0.2819
0.0000 0.0000 0.0000
0.0000 0.5000 0.0000
0.0206 0.7500 0.1990
0.1576 0.0000 0.6302
0.1576 0.5000 0.6302
0.1774 0.2500 0.4294
0.3226 0.7500 0.9294
0.3424 0.0000 0.1302
0.3424 0.5000 0.1302
0.4794 0.2500 0.6990
0.5000 0.0000 0.5000
0.5000 0.5000 0.5000
0.5206 0.7500 0.3010
0.6576 0.0000 0.8698
0.6576 0.5000 0.8698
0.6774 0.2500 0.0706
0.8226 0.7500 0.5706
0.8424 0.0000 0.3698
0.8424 0.5000 0.3698
0.9794 0.2500 0.8010
```

total magnetic moment	0.00	μB/f.u.
space group	No. 62
calculated density	11.75	g/cm³

Arrangement b

A relaxed structure of Bi2HPd5, computed with PBE-GGA.

POSCAR file:
```
Bi2HPd5
1.0
5.7232 0.0000 0.0000
0.0000 5.7232 0.0000
0.0000 0.0000 8.5152
Bi H Pd
4 2 10
direct
0.0000 0.5000 0.0000
0.0000 0.5000 0.5000
0.5000 0.0000 0.0000
0.5000 0.0000 0.5000
0.0000 0.0000 0.2314
0.5000 0.5000 0.7314
0.0000 0.0000 0.9986
0.2501 0.2501 0.2512
0.2499 0.2499 0.7512
0.2501 0.7499 0.2512
0.2499 0.7501 0.7512
0.5000 0.5000 0.4986
0.7499 0.2501 0.2512
0.7501 0.2499 0.7512
0.7499 0.7499 0.2512
0.7501 0.7501 0.7512
```

total magnetic moment	0.00	μB/f.u.
space group	No. 107
calculated density	11.32	g/cm³

Winner for stability: arrangement a

Arrangement a

A relaxed structure of Bi3HPd, computed with PBE-GGA.

POSCAR file:
```
Bi3HPd
1.0
5.4258 0.0000 0.0000
0.0000 5.4258 0.0000
0.0000 0.0000 5.4258
Bi H Pd
3 1 1
direct
0.0000 0.0000 0.5000
0.0000 0.5000 0.0000
0.5000 0.0000 0.0000
0.5000 0.5000 0.5000
0.0000 0.0000 0.0000
```

total magnetic moment	0.65	μB/f.u.
space group	No. 221
calculated density	7.63	g/cm³

Arrangement b

A relaxed structure of Bi3HPd, computed with PBE-GGA.

POSCAR file:
```
Bi3HPd
1.0
4.8225 0.0000 0.0000
0.0000 4.8225 0.0000
0.0000 0.0000 4.8225
Bi H Pd
3 1 1
direct
0.0000 0.0000 0.5000
0.0000 0.5000 0.0000
0.5000 0.0000 0.0000
0.0000 0.0000 0.0000
0.5000 0.5000 0.5000
```

total magnetic moment	0.00	μB/f.u.
space group	No. 221
calculated density	10.87	g/cm³

Winner for stability: arrangement b